Entry 1:
An optimized crystal structure of RbOsIN2. Source: the Alexandria database, functional PBEsol.

Values from the calculation:
- crystal system = tetragonal

Unit cell a=4.078 b=4.078 c=5.673 alpha=90.00 beta=90.00 gamma=90.00
Space group P4/mmm (No. 123)
Unique sites:
Rb: 0.000 0.000 0.000
Os: 0.500 0.500 0.500
I: 0.500 0.500 0.000
N: 0.000 0.500 0.500



Entry 2:
An optimized crystal structure of Ba2CrRe. Source: the Alexandria database, functional PBEsol.

Values from the calculation:
- crystal system = cubic
- ΔE_f (meV/atom) = 1458

Unit cell a=7.645 b=7.645 c=7.645 alpha=90.00 beta=90.00 gamma=90.00
Space group Fm-3m (No. 225)
Unique sites:
Ba: 0.250 0.250 0.250
Cr: 0.000 0.000 0.000
Re: 0.000 0.000 0.500



Entry 3:
An optimized crystal structure of Cr2MoSe. Source: the Alexandria database, functional PBEsol.

Values from the calculation:
- crystal system = orthorhombic

Unit cell a=3.017 b=4.162 c=4.279 alpha=90.00 beta=90.00 gamma=90.00
Space group Pmmm (No. 47)
Unique sites:
Cr: 0.000 0.000 0.000
Cr: 0.500 0.500 0.000
Mo: 0.000 0.500 0.500
Se: 0.500 0.000 0.500



Entry 4:
An optimized crystal structure of NbP2ICl. Source: the Alexandria database, functional PBEsol.

Values from the calculation:
- crystal system = tetragonal

Unit cell a=4.901 b=4.901 c=4.749 alpha=90.00 beta=90.00 gamma=90.00
Space group P4/mmm (No. 123)
Unique sites:
Nb: 0.000 0.000 0.000
P: 0.000 0.500 0.000
I: 0.500 0.500 0.500
Cl: 0.000 0.000 0.500



Table of DFT total energy (eV/atom), in record order: -5.73 -5.51 -8.74 -5.16